BaPr2Gd | PBE-GGA | relaxed

abc: 3.804 3.804 10.960
angles: 90.00 90.00 90.00
Fractional positions:
Ba  0.000  0.000  0.000
Pr  0.500  0.500  0.282
Pr  0.500  0.500  0.718
Gd  0.000  0.000  0.500

## Properties
space-group type = No. 123
ΔE to the lowest computed polymorph = 0 meV/atom
energy of formation from the pure elements = 0.10 eV per atom
V = 158.6 Å³/cell
total magnetic moment = 7.4 μB/cell

---

NaIrBr6 | PBE-GGA | relaxed

abc: 6.768 6.773 7.075
angles: 61.47 61.49 60.04
Fractional positions:
Na  0.000  0.000  0.000
Ir  0.500  0.500  0.500
Br  0.097  0.698  0.736
Br  0.301  0.531  0.264
Br  0.470  0.096  0.736
Br  0.530  0.904  0.264
Br  0.699  0.469  0.736
Br  0.903  0.302  0.264

## Properties
space-group type = No. 2
formation energy (no corrections) = -0.43 eV/atom
ΔE to the lowest computed polymorph = 0 meV/atom
V = 234.4 Å³/cell
total magnetic moment = 0.0 μB/cell